Entry from the Alexandria database: a relaxed Cr2HgOs crystal (PBE-GGA).

Geometry as POSCAR:
```
Cr2HgOs
1.0
2.923 0.000 0.000
0.000 4.740 0.028
0.000 3.223 4.483
Os Cr Hg
1 2 1
Cartesian
0.000 1.612 2.241 Os
0.000 0.000 0.000 Cr
1.462 2.370 0.014 Cr
1.462 3.982 2.256 Hg
```

DFT formation energy: 648.5 meV per atom
Crystal system: monoclinic
Symmetry: P2/m